Entry 1:
The following is a DFT calculation (PBE-GGA) of crystalline CaReNi at its relaxed geometry.

Computed properties:
* energy of formation from the pure elements: 1.9098 eV per atom
* offset from the most stable computed form: 1545.4 meV per atom

Cell and atoms, written as POSCAR:
```
CaReNi
1.0
4.505 0.000 0.000
2.253 3.901 0.000
2.253 1.300 3.678
Re Ca Ni
1 1 1
Direct
0.500 0.500 0.500
0.750 0.750 0.750
0.000 0.000 0.000
```



Entry 2:
The following is a DFT calculation (PBE-GGA) of crystalline MnTeP2 at its relaxed geometry.

Computed properties:
* uncorrected formation energy: 0.578 eV/atom

Cell and atoms, written as POSCAR:
```
MnTeP2
1.0
-1.223 -3.650 2.704
4.432 -1.573 -0.119
0.696 1.758 2.688
Mn P Te
1 2 1
Direct
0.000 0.500 0.500
0.000 0.000 0.000
0.500 0.500 0.000
0.500 0.000 0.500
```



Entry 3:
The following is a DFT calculation (PBE-GGA) of crystalline CeEr2ScAs4 at its relaxed geometry.

Computed properties:
* energy of formation from the pure elements: -1.4387 eV per atom

Cell and atoms, written as POSCAR:
```
CeEr2ScAs4
1.0
4.074 0.000 0.000
0.000 7.026 0.122
0.000 -2.457 6.608
Ce Er Sc As
1 2 1 4
Direct
0.500 0.500 0.000
0.500 0.000 0.500
0.000 0.500 0.500
0.000 0.000 0.000
0.500 0.241 0.244
0.500 0.759 0.756
0.000 0.242 0.750
0.000 0.758 0.250
```



Entry 4:
The following is a DFT calculation (PBE-GGA) of crystalline SrBTe3 at its relaxed geometry.

Computed properties:
* uncorrected formation energy: -0.053 eV/atom
* offset from the most stable computed form: 0.0 meV per atom

Cell and atoms, written as POSCAR:
```
SrBTe3
1.0
5.098 0.000 0.000
0.000 5.098 0.000
0.000 0.000 5.098
Sr B Te
1 1 3
Direct
0.500 0.500 0.500
0.000 0.000 0.000
0.000 0.500 0.000
0.000 0.000 0.500
0.500 0.000 0.000
```



Entry 5:
The following is a DFT calculation (PBE-GGA) of crystalline MgS5Cl at its relaxed geometry.

Computed properties:
* uncorrected formation energy: -0.407 eV/atom

Cell and atoms, written as POSCAR:
```
MgS5Cl
1.0
4.542 0.979 -2.661
0.130 3.567 -2.259
1.601 3.087 11.149
Mg S Cl
1 5 1
Direct
0.799 0.299 0.598
0.945 0.022 0.202
0.042 0.542 0.084
0.257 0.180 0.202
0.462 0.594 0.741
0.279 0.147 0.741
0.747 0.747 0.493
```



Entry 6:
The following is a DFT calculation (PBE-GGA) of crystalline CaCd2Ag at its relaxed geometry.

Computed properties:
* energy of formation from the pure elements: -0.1995 eV per atom

Cell and atoms, written as POSCAR:
```
CaCd2Ag
1.0
4.593 0.000 0.000
0.000 3.522 0.272
0.000 1.331 6.125
Ca Ag Cd
1 1 2
Direct
0.500 0.705 0.714
0.000 0.306 0.515
0.000 0.046 0.032
0.500 0.444 0.239
```



Entry 7:
The following is a DFT calculation (PBE-GGA) of crystalline NpSnBi at its relaxed geometry.

Computed properties:
* energy of formation from the pure elements: -0.0138 eV per atom
* offset from the most stable computed form: 11.1 meV per atom

Cell and atoms, written as POSCAR:
```
NpSnBi
1.0
4.622 0.000 0.000
0.000 4.622 0.000
-2.311 -2.311 8.003
Np Sn Bi
2 2 2
Direct
0.364 0.364 0.727
0.636 0.636 0.273
0.000 0.500 0.000
0.500 0.000 0.000
0.163 0.163 0.325
0.837 0.837 0.675
```



Entry 8:
The following is a DFT calculation (PBE-GGA) of crystalline MgMnNb2 at its relaxed geometry.

Computed properties:
* energy of formation from the pure elements: 0.5245 eV per atom

Cell and atoms, written as POSCAR:
```
MgMnNb2
1.0
-4.514 3.575 4.351
-5.582 -2.105 -4.061
-5.329 -1.504 1.692
Nb Mn Mg
4 2 2
Direct
0.677 0.125 0.250
0.073 0.625 0.250
0.375 0.323 0.750
0.875 0.927 0.750
0.000 0.000 0.000
0.750 0.250 0.500
0.500 0.500 0.000
0.250 0.750 0.500
```



no.,magnetic moment (μB per cell),total energy (eV per atom),DOS(E_F) (states/eV per atom)
1,3.34,-4.83,0.966
2,4.04,-5.20,0.715
3,0.47,-6.44,0.737
4,0.00,-3.61,0.613
5,0.00,-3.85,0.349
6,0.00,-1.87,0.457
7,8.14,-6.96,3.921
8,0.00,-7.20,0.818